Compound: HfNp5N6
Source: Alexandria via LeMat-Bulk
Functional: GGA-PBE
Structure: relaxed

POSCAR file:
```
HfNp5N6
1.0
5.783 -0.084 -1.087
-3.120 4.870 -1.087
0.117 0.210 5.883
Np Hf N
5 1 6
Direct
0.832 0.168 0.500
0.666 0.334 0.000
0.500 0.500 0.500
0.334 0.666 0.000
0.168 0.832 0.500
0.000 0.000 0.000
0.398 0.078 0.237
0.922 0.602 0.763
0.237 0.237 0.756
0.763 0.763 0.244
0.078 0.398 0.237
0.602 0.922 0.763
```

Output
* E_tot: -11.62 eV/atom
* density of states at the Fermi level: 19.97 states/eV/cell
* formation energy from raw total energies: -1237 meV/atom
* mass density: 14.4 Mg/m³

=====

Compound: TaCoBOs2
Source: Alexandria via LeMat-Bulk
Functional: GGA-PBE
Structure: relaxed

POSCAR file:
```
TaCoBOs2
1.0
-2.190 1.000 -3.331
2.617 -2.119 -2.357
-2.147 -3.165 0.462
Co B Os Ta
1 1 2 1
Direct
0.000 0.000 0.500
0.000 0.000 0.000
0.000 0.500 0.000
0.500 0.000 0.000
0.500 0.500 0.500
```

Output
* E_tot: -9.77 eV/atom
* density of states at the Fermi level: 3.40 states/eV/cell
* energy relative to the elements: -3.398 kcal/mol of atoms
* mass density: 16.1 Mg/m³
* polymorph energy (0 for the lowest one): 0 meV per atom

=====

Compound: TlSn2Hg
Source: Alexandria via LeMat-Bulk
Functional: GGA-PBE
Structure: relaxed

POSCAR file:
```
TlSn2Hg
1.0
5.433 0.000 0.000
2.716 4.705 0.000
2.716 1.568 4.403
Tl Sn Hg
1 2 1
Direct
0.500 0.500 0.499
0.999 0.999 0.002
0.250 0.250 0.250
0.750 0.750 0.749
```

Output
* E_tot: -2.63 eV/atom
* density of states at the Fermi level: 1.44 states/eV/cell
* energy relative to the elements: 0.899 kcal/mol of atoms
* mass density: 9.5 Mg/m³
* polymorph energy (0 for the lowest one): 24 meV per atom

=====

Compound: Y3P
Source: Alexandria via LeMat-Bulk
Functional: GGA-PBE
Structure: relaxed

POSCAR file:
```
Y3P
1.0
0.000 3.669 3.669
3.669 0.000 3.669
3.669 3.669 0.000
Y P
3 1
Direct
0.250 0.250 0.250
0.500 0.500 0.500
0.750 0.750 0.750
0.000 0.000 0.000
```

Output
* E_tot: -6.24 eV/atom
* density of states at the Fermi level: 3.80 states/eV/cell
* energy relative to the elements: -0.866 kcal/mol of atoms
* mass density: 5.0 Mg/m³
* polymorph energy (0 for the lowest one): 668 meV per atom

=====

Compound: TiCo2H2
Source: Alexandria via LeMat-Bulk
Functional: GGA-PBE
Structure: relaxed

POSCAR file:
```
TiCo2H2
1.0
-0.821 0.499 5.894
4.367 -3.963 0.943
1.760 1.958 0.079
H Co Ti
4 4 2
Direct
0.248 0.748 0.500
0.748 0.752 0.500
0.752 0.252 0.500
0.252 0.248 0.500
0.366 0.866 0.000
0.866 0.634 0.000
0.634 0.134 0.000
0.134 0.366 0.000
0.000 0.000 0.000
0.500 0.500 0.000
```

Output
* E_tot: -5.45 eV/atom
* density of states at the Fermi level: 7.91 states/eV/cell
* mass density: 5.9 Mg/m³
* polymorph energy (0 for the lowest one): 483 meV per atom

=====

Compound: LiPm5
Source: Alexandria via LeMat-Bulk
Functional: GGA-PBE
Structure: relaxed

POSCAR file:
```
LiPm5
1.0
-2.918 -1.856 -1.565
3.538 -2.275 -3.900
-0.269 -5.763 7.336
Li Pm
1 5
Direct
0.000 0.000 0.000
0.000 0.682 0.364
0.000 0.318 0.636
0.500 0.500 0.000
0.500 0.143 0.285
0.500 0.857 0.715
```

Output
* E_tot: -4.20 eV/atom
* density of states at the Fermi level: 9.98 states/eV/cell
* energy relative to the elements: 1.687 kcal/mol of atoms
* mass density: 6.3 Mg/m³

=====

Compound: TaZn2W
Source: Alexandria via LeMat-Bulk
Functional: GGA-PBE
Structure: relaxed

POSCAR file:
```
TaZn2W
1.0
-3.099 0.106 -1.373
1.325 -0.691 -3.044
-0.599 -5.299 0.942
Ta W Zn
1 1 2
Direct
0.500 0.500 0.250
0.500 0.500 0.750
0.000 0.000 0.992
0.000 0.000 0.508
```

Output
* E_tot: -6.50 eV/atom
* density of states at the Fermi level: 3.08 states/eV/cell
* energy relative to the elements: 7.865 kcal/mol of atoms
* mass density: 13.2 Mg/m³
* polymorph energy (0 for the lowest one): 262 meV per atom

=====

Compound: LaDyMg2Tl4
Source: Alexandria via LeMat-Bulk
Functional: GGA-PBE
Structure: relaxed

POSCAR file:
```
LaDyMg2Tl4
1.0
5.281 0.000 0.000
2.641 4.574 0.000
2.641 1.525 8.915
La Dy Mg Tl
1 1 2 4
Direct
0.000 0.000 0.000
0.500 0.500 0.500
0.751 0.751 0.746
0.249 0.249 0.254
0.380 0.380 0.860
0.873 0.873 0.381
0.127 0.127 0.619
0.620 0.620 0.140
```

Output
* E_tot: -3.03 eV/atom
* density of states at the Fermi level: 4.37 states/eV/cell
* energy relative to the elements: -5.842 kcal/mol of atoms
* mass density: 9.0 Mg/m³

=====

Compound: MnP2Ru
Source: Alexandria via LeMat-Bulk
Functional: GGA-PBE
Structure: relaxed

POSCAR file:
```
MnP2Ru
1.0
3.794 0.000 0.000
0.000 3.135 -0.014
0.000 0.022 4.854
Mn P Ru
1 2 1
Direct
0.500 0.750 0.750
0.000 0.250 0.972
0.000 0.250 0.528
0.500 0.250 0.250
```

Output
* E_tot: -7.40 eV/atom
* density of states at the Fermi level: 2.11 states/eV/cell
* energy relative to the elements: -1.912 kcal/mol of atoms
* mass density: 6.3 Mg/m³
* polymorph energy (0 for the lowest one): 328 meV per atom

=====

Compound: TaTlBr
Source: Alexandria via LeMat-Bulk
Functional: GGA-PBE
Structure: relaxed

POSCAR file:
```
TaTlBr
1.0
4.858 0.000 0.000
-2.429 4.207 0.000
0.000 0.000 3.166
Tl Br Ta
1 1 1
Direct
0.333 0.667 0.666
0.000 0.000 0.167
0.667 0.333 0.167
```

Output
* E_tot: -4.73 eV/atom
* density of states at the Fermi level: 3.55 states/eV/cell
* formation energy from raw total energies: 567 meV/atom
* mass density: 11.9 Mg/m³
* polymorph energy (0 for the lowest one): 433 meV per atom

=====

Compound: SbTe2As
Source: Alexandria via LeMat-Bulk
Functional: GGA-PBE
Structure: relaxed

POSCAR file:
```
SbTe2As
1.0
3.762 0.000 0.000
0.000 5.454 0.000
0.000 0.000 5.064
Sb As Te
1 1 2
Direct
0.000 0.500 0.500
0.500 0.000 0.500
0.000 0.000 0.000
0.500 0.500 0.000
```

Output
* E_tot: -3.41 eV/atom
* density of states at the Fermi level: 2.88 states/eV/cell
* formation energy from raw total energies: 354 meV/atom
* mass density: 7.2 Mg/m³
* polymorph energy (0 for the lowest one): 299 meV per atom

=====

Compound: Ba2As2Br
Source: Alexandria via LeMat-Bulk
Functional: GGA-PBE
Structure: relaxed

POSCAR file:
```
Ba2As2Br
1.0
4.353 0.000 0.000
0.000 4.353 0.000
2.177 2.177 8.943
As Ba Br
2 2 1
Direct
0.750 0.250 0.500
0.250 0.750 0.500
0.381 0.381 0.237
0.619 0.619 0.763
0.000 0.000 0.000
```

Output
* E_tot: -4.04 eV/atom
* density of states at the Fermi level: 1.88 states/eV/cell
* formation energy from raw total energies: -1077 meV/atom
* mass density: 4.9 Mg/m³
* polymorph energy (0 for the lowest one): 227 meV per atom